The following is a DFT calculation (GGA+U) of a geometry-optimized LaMn3Ga4O12 structure.

```
LaMn3Ga4O12
1.0
6.507 0.000 0.000
-2.169 6.135 0.000
-2.169 -3.067 5.313
Mn O La Ga
3 12 1 4
Direct
0.000 0.500 0.500 Mn
0.500 0.000 0.500 Mn
0.500 0.500 0.000 Mn
0.691 0.823 0.515 O
0.132 0.309 0.823 O
0.823 0.132 0.309 O
0.177 0.868 0.691 O
0.177 0.485 0.309 O
0.868 0.691 0.177 O
0.515 0.691 0.823 O
0.309 0.177 0.485 O
0.485 0.309 0.177 O
0.691 0.177 0.868 O
0.309 0.823 0.132 O
0.823 0.515 0.691 O
0.000 0.000 0.000 La
0.000 0.000 0.500 Ga
0.500 0.500 0.500 Ga
0.000 0.500 0.000 Ga
0.500 0.000 0.000 Ga
```

Results
As for the calculated volume: 212 Å³ per cell. The value obtained for the total energy is -137.82 eV/f.u.